Record 1
This record from Alexandria via LeMat-Bulk describes a relaxed structure of MnTcAsIr. The functional is PBE.

Properties
**Formation energy from the elements**: -0.056 eV per atom
**V**: 227 Å³/cell
**Spin magnetization**: 15.58 μB/cell

```
data_MnTcAsIr
_symmetry_space_group_name_H-M 'F -4 3 m'
_symmetry_Int_Tables_number 216
_symmetry_space_group_name_Hall 'F -4 2 3'
_cell_length_a 6.1036
_cell_length_b 6.1036
_cell_length_c 6.1036
_cell_angle_alpha 90.00
_cell_angle_beta 90.00
_cell_angle_gamma 90.00
loop_
_atom_site_label
_atom_site_type_symbol
_atom_site_fract_x
_atom_site_fract_y
_atom_site_fract_z
Mn1 Mn 0.0000 0.0000 0.0000
Tc1 Tc 0.2500 0.2500 0.2500
As1 As 0.0000 0.0000 0.5000
Ir1 Ir 0.2500 0.2500 0.7500
```

Record 2
This record from Alexandria via LeMat-Bulk describes a relaxed structure of ZrMnAs2Ir. The functional is PBE.

Properties
**Formation energy from the elements**: 0.647 eV per atom
**V**: 117 Å³/cell
**Spin magnetization**: 3.62 μB/cell

```
data_ZrMnAs2Ir
_symmetry_space_group_name_H-M 'P 4/m m m'
_symmetry_Int_Tables_number 123
_symmetry_space_group_name_Hall '-P 4 2'
_cell_length_a 4.7462
_cell_length_b 4.7462
_cell_length_c 5.2142
_cell_angle_alpha 90.00
_cell_angle_beta 90.00
_cell_angle_gamma 90.00
loop_
_atom_site_label
_atom_site_type_symbol
_atom_site_fract_x
_atom_site_fract_y
_atom_site_fract_z
Zr1 Zr 0.0000 0.0000 0.0000
Mn1 Mn 0.5000 0.5000 0.0000
As1 As 0.0000 0.5000 0.5000
Ir1 Ir 0.0000 0.0000 0.5000
```

Record 3
This record from Alexandria via LeMat-Bulk describes a relaxed structure of ZrMnAs2Ir. The functional is PBE.

Properties
**Formation energy from the elements**: 1.436 eV per atom
**V**: 125 Å³/cell
**Spin magnetization**: 0.64 μB/cell

```
data_ZrMnAs2Ir
_symmetry_space_group_name_H-M 'P 4/m m m'
_symmetry_Int_Tables_number 123
_symmetry_space_group_name_Hall '-P 4 2'
_cell_length_a 5.0673
_cell_length_b 5.0673
_cell_length_c 4.8870
_cell_angle_alpha 90.00
_cell_angle_beta 90.00
_cell_angle_gamma 90.00
loop_
_atom_site_label
_atom_site_type_symbol
_atom_site_fract_x
_atom_site_fract_y
_atom_site_fract_z
Zr1 Zr 0.0000 0.0000 0.0000
Mn1 Mn 0.5000 0.5000 0.5000
As1 As 0.0000 0.5000 0.0000
Ir1 Ir 0.0000 0.0000 0.5000
```